Record 1
Ca2AsPt: relaxed, PBE.

Cell: 5.711 5.711 4.282 Å, 90.02 90.02 43.80°
Sites, in units of the cell vectors:
As  0.307  0.307  0.125
Ca  0.015  0.015  0.125
Ca  0.734  0.734  0.625
Pt  0.444  0.444  0.625

Computed properties:
For the formation energy from the elements, the calculation gives -0.96 eV per atom. The value obtained for the calculated total energy is -4.6357 eV/atom. The value obtained for the density is 6.02 g/cm3.

---

Record 2
Ho2TmNi: relaxed, PBE.

Cell: 3.607 3.607 9.599 Å, 79.17 79.17 60.00°
Sites, in units of the cell vectors:
Ni  0.000  0.000  0.000
Tm  0.500  0.500  0.500
Ho  0.271  0.271  0.186
Ho  0.729  0.729  0.814

Computed properties:
For the formation energy from the elements, the calculation gives -0.08 eV per atom. The value obtained for the calculated total energy is -4.9309 eV/atom. The calculation puts the excess energy over the best structure of this formula in the dataset at 185 meV per atom. The value obtained for the density is 8.77 g/cm3.

---

Record 3
Ag2SbS4: relaxed, PBE.

Cell: 7.386 7.853 7.853 Å, 56.06 61.95 61.95°
Sites, in units of the cell vectors:
Ag  0.093  0.157  0.657
Ag  0.500  0.000  0.000
Ag  0.500  0.500  0.500
Ag  0.907  0.843  0.343
Sb  0.000  0.500  0.000
Sb  0.500  0.500  0.000
S  0.243  0.260  0.254
S  0.243  0.754  0.760
S  0.248  0.278  0.778
S  0.696  0.278  0.778
S  0.304  0.722  0.222
S  0.757  0.246  0.240
S  0.752  0.722  0.222
S  0.757  0.740  0.746

Computed properties:
As for the uncorrected formation energy: -0.016 eV per atom. The value obtained for the calculated total energy is -3.7779 eV/atom. The value obtained for the density is 4.84 g/cm3.

---

Question: Among the records above, which one has the highest calculated total energy?
Answer: Ag2SbS4

---

Question: Among the records above, which one has the highest calculated total energy?
Answer: Ag2SbS4

---

Question: Number 1 is which compound?
Answer: Ca2AsPt

---

Question: calculated total energy of number 1 (Ca2AsPt)?
Answer: -4.6357 eV/atom